(1)
The following is a PBE calculation of an optimized crystal structure of InHPd3, from Alexandria via LeMat-Bulk.

abc: 9.579 11.402 5.088
angles: 90.00 92.07 90.00
Space group C2/c (No. 15)
Unique sites:
In: 0.145 0.076 0.079 x8
H: 0.000 0.295 0.750 x4
H: 0.000 0.446 0.250 x4
Pd: 0.120 0.311 0.085 x8
Pd: 0.122 0.177 0.580 x8
Pd: 0.125 0.435 0.577 x8

- spin magnetization (μB per formula unit) = 0.000
- energy relative to the lowest polymorph listed for this composition (meV/atom) = 175


(2)
The following is a PBE calculation of an optimized crystal structure of Sc2TlPd, from Alexandria via LeMat-Bulk.

abc: 3.338 3.338 7.441
angles: 90.00 90.00 90.00
Space group P4/mmm (No. 123)
Unique sites:
Sc: 0.000 0.000 0.221 x2
Tl: 0.500 0.500 0.500 x1
Pd: 0.500 0.500 0.000 x1

- spin magnetization (μB per formula unit) = 0.000
- formation energy (eV per atom) = -0.579